{
  "formula": "CoAs2P6",
  "functional": "PBE",
  "state": "optimized geometry",
  "lattice": [[3.313, 0.000, 0.000], [0.000, 6.467, 3.770], [0.000, -6.467, 3.770]],
  "species": ["Co", "As", "As", "P", "P", "P", "P", "P", "P"],
  "frac_coords": [[0.000, 0.000, 0.000], [0.500, 0.196, 0.688], [0.500, 0.688, 0.196], [0.000, 0.306, 0.306], [0.000, 0.659, 0.948], [0.000, 0.948, 0.659], [0.500, 0.070, 0.296], [0.500, 0.296, 0.070], [0.500, 0.791, 0.791]],
  "e_tot_ev_per_fu": -46.74,
  "sg": "Amm2",
  "de_polymorph_ev_per_atom": 0.115,
  "formation_energy_ev_per_atom": 0.236
}